Entry 1:
VASP calculation (PBE) on a relaxed structure of SrZrNbInO6.

Summary:
Raw total energy in eV/atom: -7.859

Cell: 5.8661 5.8661 5.8661 Å, 60.00 60.00 60.00°
Element x y z (fractional)
1 Sr 0.0000 0.0000 0.0000
2 Zr 0.7500 0.7500 0.7500
3 Nb 0.2500 0.2500 0.2500
4 In 0.5000 0.5000 0.5000
5 O 0.0061 0.0061 0.4939
6 O 0.0061 0.4939 0.0061
7 O 0.0061 0.4939 0.4939
8 O 0.4939 0.0061 0.0061
9 O 0.4939 0.0061 0.4939
10 O 0.4939 0.4939 0.0061

Entry 2:
VASP calculation (PBE) on a relaxed structure of NbInTe2O8.

Summary:
Raw total energy in eV/atom: -6.489

Cell: 7.7998 11.0115 7.7924 Å, 90.00 90.00 90.00°
Element x y z (fractional)
1 Nb 0.0319 0.0007 0.0000
2 Nb 0.4681 0.0007 0.5000
3 Nb 0.5319 0.9993 0.0000
4 Nb 0.9681 0.9993 0.5000
5 In 0.0020 0.5126 0.4891
6 In 0.4980 0.5126 0.9891
7 In 0.5020 0.4874 0.4891
8 In 0.9980 0.4874 0.9891
9 Te 0.2045 0.2456 0.3459
10 Te 0.2330 0.7142 0.2535
11 Te 0.2670 0.7142 0.7535
12 Te 0.2955 0.2456 0.8459
13 Te 0.7045 0.7544 0.3459
14 Te 0.7330 0.2858 0.2535
15 Te 0.7670 0.2858 0.7535
16 Te 0.7955 0.7544 0.8459
17 O 0.0230 0.0410 0.2367
18 O 0.0527 0.6298 0.7976
19 O 0.0667 0.5864 0.2203
20 O 0.0715 0.1745 0.5265
21 O 0.0836 0.1703 0.9210
22 O 0.1819 0.6626 0.5046
23 O 0.2442 0.9461 0.4872
24 O 0.2504 0.3950 0.4750
25 O 0.2496 0.3950 0.9750
26 O 0.2558 0.9461 0.9872
27 O 0.3181 0.6626 0.0046
28 O 0.4164 0.1703 0.4210
29 O 0.4285 0.1745 0.0265
30 O 0.4333 0.5864 0.7203
31 O 0.4473 0.6298 0.2976
32 O 0.4770 0.0410 0.7367
33 O 0.5230 0.9590 0.2367
34 O 0.5527 0.3702 0.7976
35 O 0.5667 0.4136 0.2203
36 O 0.5715 0.8255 0.5265
37 O 0.5836 0.8297 0.9210
38 O 0.6819 0.3374 0.5046
39 O 0.7442 0.0539 0.4872
40 O 0.7504 0.6050 0.4750
41 O 0.7496 0.6050 0.9750
42 O 0.7558 0.0539 0.9872
43 O 0.8181 0.3374 0.0046
44 O 0.9164 0.8297 0.4210
45 O 0.9285 0.8255 0.0265
46 O 0.9333 0.4136 0.7203
47 O 0.9473 0.3702 0.2976
48 O 0.9770 0.9590 0.7367

Entry 3:
VASP calculation (PBE) on a relaxed structure of TiNbInO6.

Summary:
Raw total energy in eV/atom: -8.015

Cell: 5.1982 5.1982 9.2919 Å, 90.00 90.00 120.00°
Element x y z (fractional)
1 Ti 0.3333 0.6667 0.2500
2 Ti 0.6667 0.3333 0.7500
3 Nb 0.3333 0.6667 0.7500
4 Nb 0.6667 0.3333 0.2500
5 In 0.0000 0.0000 0.0000
6 In 0.0000 0.0000 0.5000
7 O 0.0054 0.3551 0.1351
8 O 0.0054 0.6503 0.3649
9 O 0.3497 0.3551 0.3649
10 O 0.3497 0.9946 0.1351
11 O 0.3551 0.0054 0.6351
12 O 0.3551 0.3497 0.8649
13 O 0.6449 0.6503 0.1351
14 O 0.6449 0.9946 0.3649
15 O 0.6503 0.0054 0.8649
16 O 0.6503 0.6449 0.6351
17 O 0.9946 0.3497 0.6351
18 O 0.9946 0.6449 0.8649

Entry 4:
VASP calculation (PBE) on a relaxed structure of ZrNbInO6.

Summary:
Raw total energy in eV/atom: -8.121

Cell: 5.3421 5.3421 9.3344 Å, 90.00 90.00 120.00°
Element x y z (fractional)
1 Zr 0.0000 0.0000 0.0000
2 Zr 0.0000 0.0000 0.5000
3 Nb 0.3333 0.6667 0.2500
4 Nb 0.6667 0.3333 0.7500
5 In 0.3333 0.6667 0.7500
6 In 0.6667 0.3333 0.2500
7 O 0.0259 0.3447 0.1291
8 O 0.0259 0.6812 0.3708
9 O 0.3188 0.3447 0.3708
10 O 0.3188 0.9741 0.1291
11 O 0.3447 0.0259 0.6292
12 O 0.3447 0.3188 0.8708
13 O 0.6553 0.6812 0.1291
14 O 0.6553 0.9741 0.3708
15 O 0.6812 0.0259 0.8708
16 O 0.6812 0.6553 0.6292
17 O 0.9741 0.3188 0.6292
18 O 0.9741 0.6553 0.8708

The lowest raw total energy belongs to which entry? ZrNbInO6

Which of these has the lowest raw total energy? ZrNbInO6

Repeat the fourth record exactly.
VASP calculation (PBE) on a relaxed structure of ZrNbInO6.

Summary:
Raw total energy in eV/atom: -8.121

Cell: 5.3421 5.3421 9.3344 Å, 90.00 90.00 120.00°
Element x y z (fractional)
1 Zr 0.0000 0.0000 0.0000
2 Zr 0.0000 0.0000 0.5000
3 Nb 0.3333 0.6667 0.2500
4 Nb 0.6667 0.3333 0.7500
5 In 0.3333 0.6667 0.7500
6 In 0.6667 0.3333 0.2500
7 O 0.0259 0.3447 0.1291
8 O 0.0259 0.6812 0.3708
9 O 0.3188 0.3447 0.3708
10 O 0.3188 0.9741 0.1291
11 O 0.3447 0.0259 0.6292
12 O 0.3447 0.3188 0.8708
13 O 0.6553 0.6812 0.1291
14 O 0.6553 0.9741 0.3708
15 O 0.6812 0.0259 0.8708
16 O 0.6812 0.6553 0.6292
17 O 0.9741 0.3188 0.6292
18 O 0.9741 0.6553 0.8708